# CoW2O8 GGA+U optimized geometry
# calculated density: 6.73 g cm⁻³
# size of the total moment: 5.0 μB/f.u.
# E_tot: -75.2 eV per cell
# crystal system: triclinic
# symmetry: P-1 (2)
# DOS at the Fermi energy: 5.1 states/eV/cell
data_CoW2O8
_chemical_formula_sum 'Co1 W2 O8'
_symmetry_space_group_name_H-M 'P 1'
_symmetry_Int_Tables_number 1
_cell_length_a 5.105
_cell_length_b 5.519
_cell_length_c 5.784
_cell_angle_alpha 107.34
_cell_angle_beta 90.57
_cell_angle_gamma 116.85
loop_
_symmetry_equiv_pos_as_xyz
'x,y,z'
loop_
_atom_site_label
_atom_site_type_symbol
_atom_site_fract_x
_atom_site_fract_y
_atom_site_fract_z
Co1 Co 0.000 0.000 0.000
W1 W 0.256 0.495 0.666
W2 W 0.744 0.505 0.334
O1 O 0.024 0.249 0.825
O2 O 0.027 0.711 0.675
O3 O 0.445 0.223 0.077
O4 O 0.460 0.279 0.544
O5 O 0.540 0.721 0.456
O6 O 0.555 0.777 0.923
O7 O 0.973 0.289 0.325
O8 O 0.976 0.751 0.175